Density functional theory data (PBEsol) for RbSF5 after structural relaxation.

Output
The theoretical density is 3.08 Mg/m³. The value obtained for the total energy is -4.23 eV per atom. As for the space group: Pnma (62). As for the uncorrected formation energy: -2.0761 eV/atom.

Structure (POSCAR):
```
RbSF5
1.0
9.944 0.000 0.000
0.000 6.049 0.000
0.000 0.000 7.610
Rb S F
4 4 20
direct
0.158 0.250 0.152 Rb
0.342 0.750 0.652 Rb
0.658 0.250 0.348 Rb
0.842 0.750 0.848 Rb
0.094 0.250 0.652 S
0.406 0.750 0.152 S
0.594 0.250 0.848 S
0.906 0.750 0.348 S
0.071 0.043 0.814 F
0.071 0.457 0.814 F
0.147 0.047 0.503 F
0.147 0.453 0.503 F
0.248 0.250 0.718 F
0.252 0.750 0.218 F
0.353 0.547 0.003 F
0.353 0.953 0.003 F
0.429 0.543 0.314 F
0.429 0.957 0.314 F
0.571 0.043 0.686 F
0.571 0.457 0.686 F
0.647 0.047 0.997 F
0.647 0.453 0.997 F
0.748 0.250 0.782 F
0.752 0.750 0.282 F
0.853 0.547 0.497 F
0.853 0.953 0.497 F
0.929 0.543 0.186 F
0.929 0.957 0.186 F
```